No. 1
First-principles (GGA-PBE) data for a relaxed structure of Pr2Er5ThSc, as listed in Alexandria.

Lattice parameters (Å, degrees): 5.5688 22.4823 9.2512 90.00 90.00 90.00
With the nearest neighbours (Å) after each atom.
Space group Cmc2_1 (No. 36)
One atom of each set of equivalent atoms:
Pr  0.0000  0.1154  0.0000 (multiplicity 4)  1 Sc 3.33, 9 Er 3.37-3.68
Pr  0.0000  0.1383  0.4406 (multiplicity 4)  1 Sc 3.29, 3 Er 3.30-3.56, 2 Th 3.63
Er  0.0000  0.0018  0.7265 (multiplicity 4)  3 Pr 3.37-3.72, 2 Th 3.61, 4 Er 3.62-3.68
Er  0.0000  0.2657  0.0673 (multiplicity 4)  1 Th 3.14, 3 Sc 3.21-3.23, 3 Er 3.34-3.49, 1 Pr 3.44
Er  0.0000  0.2965  0.4376 (multiplicity 4)  3 Sc 3.31-3.35, 1 Th 3.33, 4 Er 3.34-3.60, 3 Pr 3.47-3.56
Er  0.0000  0.3862  0.7595 (multiplicity 4)  4 Pr 3.30-3.68, 3 Er 3.39-3.60
Er  0.0000  0.4802  0.4725 (multiplicity 4)  2 Th 3.31-3.32, 6 Er 3.39-3.68, 2 Pr 3.53
Th  0.0000  0.3982  0.1753 (multiplicity 4)  4 Er 3.14-3.33
Sc  0.0000  0.2177  0.7401 (multiplicity 4)  6 Er 3.21-3.35, 2 Pr 3.29-3.33

Calculated values
The spin magnetization comes out at 0.00 μB/f.u. The formation enthalpy at 0 K comes out at 0.171 eV per atom.

=====

No. 2
First-principles (GGA-PBE) data for a relaxed structure of ErZrTcIr, as listed in Alexandria.

Lattice parameters (Å, degrees): 6.6724 6.6724 6.6724 90.00 90.00 90.00
With the nearest neighbours (Å) after each atom.
Space group F-43m (No. 216)
One atom of each set of equivalent atoms:
Er  0.0000  0.0000  0.0000 (multiplicity 4)  4 Tc 2.89, 4 Ir 2.89
Zr  0.0000  0.0000  0.5000 (multiplicity 4)  4 Tc 2.89, 4 Ir 2.89
Tc  0.2500  0.2500  0.7500 (multiplicity 4)  4 Zr 2.89, 4 Er 2.89
Ir  0.2500  0.2500  0.2500 (multiplicity 4)  4 Zr 2.89, 4 Er 2.89

Calculated values
The spin magnetization comes out at 0.00 μB/f.u. The formation enthalpy at 0 K comes out at -0.558 eV per atom.

=====

Among the records above, which one has the highest formation enthalpy at 0 K? Pr2Er5ThSc

=====

Which of these has the highest formation enthalpy at 0 K? Pr2Er5ThSc

=====

What is the spin magnetization in the first record? 0.00 μB/f.u.